Record 1
NaMgTeN2: relaxed, PBE.

```
NaMgTeN2
1.0
4.4192 0.0000 0.0000
0.0000 4.4192 0.0000
0.0000 0.0000 6.0724
Na Te Mg N
1 1 1 2
direct
0.0000 0.0000 0.0000
0.0000 0.0000 0.5000
0.5000 0.5000 0.5000
0.5000 0.0000 0.0000
0.0000 0.5000 0.0000
```

Properties
Offset from the most stable computed form: 0.5503 eV per atom
Space-group type: P4/mmm, No. 123
Calculated total energy: -3.039 eV per atom
Formation energy without anion corrections: 1.50 eV per atom


Record 2
K5Be: relaxed, PBE.

```
K5Be
1.0
4.0182 -6.9597 0.0000
4.0182 6.9597 0.0000
0.0000 0.0000 7.8085
Be K
1 5
direct
0.0000 0.0000 0.0000
0.6667 0.3333 0.0000
0.5000 0.5000 0.5000
0.3333 0.6667 0.0000
0.5000 0.0000 0.5000
0.0000 0.5000 0.5000
```

Properties
Offset from the most stable computed form: 0.2475 eV per atom
Space-group type: P6/mmm, No. 191
Calculated total energy: -0.892 eV per atom
Energy relative to the elements: 0.64 eV/atom


Record 3
RbBe2Tl: relaxed, PBE.

```
RbBe2Tl
1.0
-4.4477 -2.2074 -0.8018
-4.1218 1.7404 2.2975
-3.5455 2.3793 -2.6580
Be Rb Tl
2 1 1
direct
0.7500 0.7500 0.7500
0.2500 0.2500 0.2500
0.0000 0.0000 0.0000
0.5000 0.5000 0.5000
```

Properties
Offset from the most stable computed form: 0.3368 eV per atom
Space-group type: Fm-3m, No. 225
Calculated total energy: -1.631 eV per atom
Energy relative to the elements: 1.07 eV/atom


Record 4
BeInF5: relaxed, PBE.

```
BeInF5
1.0
-4.2605 2.3053 -2.4871
-1.8203 -4.8210 -1.7595
-0.5671 0.6111 7.9045
F Be In
10 2 2
direct
0.7595 0.7349 0.0867
0.4104 0.0892 0.2499
0.7652 0.7406 0.4134
0.2348 0.2594 0.5866
0.8133 0.3105 0.1580
0.1896 0.6866 0.3422
0.8104 0.3134 0.6578
0.1867 0.6895 0.8420
0.5896 0.9108 0.7501
0.2404 0.2651 0.9133
0.1191 0.3808 0.7499
0.8809 0.6192 0.2501
0.5000 0.0000 0.5000
0.5000 0.0000 0.0000
```

Properties
Space-group type: C2/c, No. 15
Calculated total energy: -5.093 eV per atom
Formation energy without anion corrections: -2.83 eV per atom


Record 5
BePtSN2: relaxed, PBE.

```
BePtSN2
1.0
3.2961 0.0000 0.0000
0.0000 3.2961 0.0000
0.0000 0.0000 7.8470
Be N Pt S
1 2 1 1
direct
0.0000 0.0000 0.0000
0.0000 0.5000 0.0000
0.5000 0.0000 0.0000
0.5000 0.5000 0.5000
0.0000 0.0000 0.5000
```

Properties
Offset from the most stable computed form: 0.0000 eV per atom
Space-group type: P4/mmm, No. 123
Calculated total energy: -4.995 eV per atom
Formation energy without anion corrections: 1.11 eV per atom


Record 6
KTaIr2Se: relaxed, PBE.

```
KTaIr2Se
1.0
-1.2651 3.7876 2.4264
0.2619 -2.7271 4.3935
4.4920 1.1962 0.4747
Ta K Ir Se
1 1 2 1
direct
0.5000 0.5000 0.5000
0.0000 0.5000 0.0000
0.5000 0.0000 0.0000
0.0000 0.0000 0.5000
0.0000 0.0000 0.0000
```

Properties
Space-group type: P4/mmm, No. 123
Calculated total energy: -5.243 eV per atom
Formation energy without anion corrections: 1.59 eV per atom


Record 7
Sr3InO: relaxed, PBE.

```
Sr3InO
1.0
1.2424 8.1138 -1.5614
-1.1834 6.5812 5.0102
5.6426 5.2063 3.2970
Sr In O
6 2 2
direct
0.1757 0.5672 0.9709
0.0291 0.8243 0.4328
0.8243 0.4328 0.0291
0.5672 0.9709 0.1757
0.9709 0.1757 0.5672
0.4328 0.0291 0.8243
0.6428 0.6428 0.6428
0.3572 0.3572 0.3572
0.8365 0.8365 0.8365
0.1635 0.1635 0.1635
```

Properties
Space-group type: R-3, No. 148
Calculated total energy: -3.601 eV per atom
Formation energy without anion corrections: -1.05 eV per atom


Record 8
Tm5CdIr4: relaxed, PBE.

```
Tm5CdIr4
1.0
-1.1520 2.5814 -1.9086
0.2663 -1.9439 -2.7899
-16.5443 -5.6433 2.3528
Cd Tm Ir
1 5 4
direct
0.0000 0.0000 0.0000
0.5000 0.5000 0.5000
0.5000 0.5000 0.6903
0.5000 0.5000 0.1214
0.5000 0.5000 0.3097
0.5000 0.5000 0.8786
0.0000 0.0000 0.7885
0.0000 0.0000 0.2115
0.0000 0.0000 0.4045
0.0000 0.0000 0.5955
```

Properties
Space-group type: P4/mmm, No. 123
Calculated total energy: -6.685 eV per atom
Energy relative to the elements: -0.81 eV/atom


Record 9
Li2CuSiO4: relaxed, PBE.

```
Li2CuSiO4
1.0
-3.9169 1.6064 2.7964
-2.0420 -5.9090 0.5341
5.6552 -1.8028 8.9566
O Si Cu Li
16 4 4 8
direct
0.1862 0.2570 0.6872
0.8138 0.7430 0.3128
0.1852 0.4464 0.9081
0.6250 0.2529 0.8339
0.3138 0.2570 0.1872
0.3148 0.4464 0.4081
0.6862 0.7430 0.8128
0.8148 0.5536 0.0919
0.3018 0.0165 0.4019
0.3750 0.7471 0.1661
0.1982 0.0165 0.9019
0.1250 0.7471 0.6661
0.6852 0.5536 0.5919
0.8750 0.2529 0.3339
0.6982 0.9835 0.5981
0.8018 0.9835 0.0981
0.7968 0.7619 0.6674
0.7032 0.7619 0.1674
0.2968 0.2381 0.8326
0.2032 0.2381 0.3326
0.2548 0.5152 0.5780
0.7548 0.4848 0.9220
0.7452 0.4848 0.4220
0.2452 0.5152 0.0780
0.7066 0.2494 0.1700
0.8045 0.9901 0.9144
0.6955 0.9901 0.4144
0.1955 0.0099 0.0856
0.3045 0.0099 0.5856
0.2066 0.7506 0.3300
0.7934 0.2494 0.6700
0.2934 0.7506 0.8300
```

Properties
Offset from the most stable computed form: 0.0189 eV per atom
Space-group type: P2_1/c, No. 14
Calculated total energy: -6.118 eV per atom
Formation energy without anion corrections: -1.97 eV per atom


Record 10
Zr4CuRu3: relaxed, PBE.

```
Zr4CuRu3
1.0
3.2580 0.0000 0.0000
0.0000 4.6505 0.0000
0.0000 0.0000 9.3304
Zr Ru Cu
4 3 1
direct
0.0000 0.5000 0.7490
0.0000 0.0000 0.0000
0.0000 0.0000 0.5000
0.0000 0.5000 0.2510
0.5000 0.0000 0.7493
0.5000 0.5000 0.5000
0.5000 0.0000 0.2507
0.5000 0.5000 0.0000
```

Properties
Space-group type: Pmmm, No. 47
Calculated total energy: -8.773 eV per atom
Energy relative to the elements: -0.51 eV/atom


Record 11
Ca3ReMo: relaxed, PBE.

```
Ca3ReMo
1.0
-0.0940 -0.3890 -5.4873
4.6437 -2.9480 0.1294
-2.9494 -4.6291 0.3787
Ca Re Mo
3 1 1
direct
0.0000 0.5000 0.0000
0.0000 0.0000 0.5000
0.5000 0.0000 0.0000
0.0000 0.0000 0.0000
0.5000 0.5000 0.5000
```

Properties
Offset from the most stable computed form: 0.0000 eV per atom
Space-group type: Pm-3m, No. 221
Calculated total energy: -4.405 eV per atom
Energy relative to the elements: 1.45 eV/atom


Record 12
Cu3AsRu: relaxed, PBE.

```
Cu3AsRu
1.0
-3.5654 -1.1650 -2.3115
0.5397 -4.1826 1.2756
-2.5316 0.7491 3.5274
As Cu Ru
1 3 1
direct
0.0000 0.0000 0.0000
0.5000 0.0000 0.0000
0.0000 0.0000 0.5000
0.0000 0.5000 0.0000
0.5000 0.5000 0.5000
```

Properties
Offset from the most stable computed form: 0.0000 eV per atom
Space-group type: Pm-3m, No. 221
Calculated total energy: -4.328 eV per atom
Energy relative to the elements: 0.91 eV/atom